Entry 1:
Pm4SiGeCl2: relaxed, PBE-GGA.

The structure belongs to space group P2/m (No. 10); the cell edges are 7.268, 4.245 and 7.329 Å and the angles 90.00°, 109.73° and 90.00°. Symmetry generates all atoms from Pm at (0.226, 0.000, 0.239), Pm at (0.227, 0.500, 0.745), Si at (0.000, 0.500, 0.000), Ge at (0.000, 0.000, 0.500), Cl at (0.500, 0.000, 0.000) and Cl at (0.500, 0.500, 0.500).

For the energy relative to the elements, uncorrected, the calculation gives -1.218 eV/atom. For the total energy, the calculation gives -5.310 eV per atom. The density of states at the Fermi level is 0.46 states/eV/atom. The value obtained for the density is 5.87 g cm⁻³.

Entry 2:
LaCo2PdPt: relaxed, PBE-GGA.

The structure belongs to space group P4/mmm (No. 123); the cell edges are 4.497, 4.497 and 5.179 Å and the angles 90.00°, 90.00° and 90.00°. Symmetry generates all atoms from La at (0.000, 0.000, 0.000), Co at (0.000, 0.500, 0.000), Pd at (0.500, 0.500, 0.500) and Pt at (0.000, 0.000, 0.500).

For the total energy, the calculation gives -4.677 eV per atom. Its energy relative to the elements is 1.397 eV per atom. The density of states at the Fermi level is 1.07 states/eV/atom. The value obtained for the density is 8.85 g cm⁻³.

Entry 3:
Ac6SnPb5: relaxed, PBE-GGA.

The structure belongs to space group C2/m (No. 12); the cell edges are 10.844, 16.469 and 5.500 Å and the angles 90.00°, 120.44° and 90.00°. Symmetry generates all atoms from Ac at (0.242, 0.000, 0.242), Ac at (0.246, 0.165, 0.746), Sn at (0.000, 0.000, 0.500), Pb at (0.000, 0.172, 0.000), Pb at (0.000, 0.336, 0.500) and Pb at (0.000, 0.500, 0.000).

For the total energy, the calculation gives -4.442 eV per atom. Its energy relative to the elements is -0.509 eV per atom. The density of states at the Fermi level is 0.90 states/eV/atom. The value obtained for the density is 9.87 g cm⁻³.